# 1
VASP calculation (meta-GGA SCAN) on a PBEsol-optimized structure of Ta3Cr.

a = 5.260 Å, b = 5.260 Å, c = 5.260 Å
α = 145.10°, β = 128.66°, γ = 63.59°
Fractional positions:
Ta 0.000 0.000 0.000
Ta 0.265 0.765 0.500
Ta 0.735 0.235 0.500
Cr 0.500 0.500 0.000

Computed properties:
The volume comes out at 64.3 Å³ per cell. Its formation energy is 0.024 eV per atom. The calculation puts the total magnetization at 0.01 μB/atom.

=====

# 2
VASP calculation (meta-GGA SCAN) on a PBEsol-optimized structure of Y3Zr.

a = 11.338 Å, b = 11.338 Å, c = 11.338 Å
α = 17.22°, β = 17.22°, γ = 17.22°
Fractional positions:
Y 0.000 0.000 0.000
Y 0.245 0.245 0.245
Y 0.755 0.755 0.755
Zr 0.500 0.500 0.500

Computed properties:
The volume comes out at 111.4 Å³ per cell. Its formation energy is 0.131 eV per atom. The calculation puts the total magnetization at 0.00 μB/atom. The energy above the most stable polymorph in this dataset is 56 meV per atom.

=====

# 3
VASP calculation (meta-GGA SCAN) on a PBEsol-optimized structure of Mn2AlRu.

a = 2.670 Å, b = 2.670 Å, c = 6.747 Å
α = 90.00°, β = 90.00°, γ = 90.00°
Fractional positions:
Mn 0.000 0.000 0.249
Mn 0.000 0.000 0.751
Al 0.500 0.500 0.500
Ru 0.500 0.500 0.000

Computed properties:
The volume comes out at 48.1 Å³ per cell. Its formation energy is -0.161 eV per atom. The calculation puts the total magnetization at 0.86 μB/atom.

=====

# 4
VASP calculation (meta-GGA SCAN) on a PBEsol-optimized structure of LaSe2S.

a = 8.149 Å, b = 8.149 Å, c = 8.149 Å
α = 32.05°, β = 32.05°, γ = 32.05°
Fractional positions:
La 0.000 0.000 0.000
Se 0.396 0.396 0.396
Se 0.604 0.604 0.604
S 0.500 0.500 0.500

Computed properties:
The volume comes out at 135.4 Å³ per cell. Its uncorrected formation energy is -922 meV per atom. The calculation puts the total magnetization at 0.25 μB/atom.

=====

# 5
VASP calculation (meta-GGA SCAN) on a PBEsol-optimized structure of HPbIO2.

a = 4.496 Å, b = 4.496 Å, c = 3.515 Å
α = 90.00°, β = 90.00°, γ = 90.00°
Fractional positions:
H 0.000 0.000 0.000
Pb 0.500 0.500 0.500
I 0.000 0.000 0.500
O 0.000 0.500 0.000
O 0.500 0.000 0.000

Computed properties:
The volume comes out at 71.1 Å³ per cell. For the raw total energy, the calculation gives -126.21 eV for the cell shown. The calculation puts the total magnetization at 0.42 μB/atom.

=====

# 6
VASP calculation (meta-GGA SCAN) on a PBEsol-optimized structure of Ba3TeIr.

a = 5.865 Å, b = 5.865 Å, c = 5.865 Å
α = 90.00°, β = 90.00°, γ = 90.00°
Fractional positions:
Ba 0.000 0.000 0.500
Ba 0.000 0.500 0.000
Ba 0.500 0.000 0.000
Te 0.500 0.500 0.500
Ir 0.000 0.000 0.000

Computed properties:
The volume comes out at 201.8 Å³ per cell. Its uncorrected formation energy is -707 meV per atom. The calculation puts the total magnetization at 0.00 μB/atom.

=====

# 7
VASP calculation (meta-GGA SCAN) on a PBEsol-optimized structure of ScNiOs.

a = 4.152 Å, b = 4.152 Å, c = 3.031 Å
α = 90.00°, β = 90.00°, γ = 120.00°
Fractional positions:
Sc 0.000 0.000 0.000
Ni 0.667 0.333 0.500
Os 0.333 0.667 0.500

Computed properties:
The volume comes out at 45.3 Å³ per cell. Its formation energy is -0.143 eV per atom. The calculation puts the total magnetization at 0.00 μB/atom.

=====

# 8
VASP calculation (meta-GGA SCAN) on a PBEsol-optimized structure of BiO2.

a = 4.252 Å, b = 4.252 Å, c = 6.572 Å
α = 108.81°, β = 108.81°, γ = 89.98°
Fractional positions:
Bi 0.125 0.875 0.750
Bi 0.875 0.125 0.250
O 0.069 0.319 0.638
O 0.319 0.069 0.138
O 0.681 0.931 0.862
O 0.931 0.681 0.362

Computed properties:
The volume comes out at 105.8 Å³ per cell. Its uncorrected formation energy is -841 meV per atom. The calculation puts the total magnetization at 0.00 μB/atom. The energy above the most stable polymorph in this dataset is 37 meV per atom.

=====

# 9
VASP calculation (meta-GGA SCAN) on a PBEsol-optimized structure of LaMgFe2.

a = 3.405 Å, b = 3.405 Å, c = 6.368 Å
α = 90.00°, β = 90.00°, γ = 90.00°
Fractional positions:
La 0.000 0.000 0.000
Mg 0.000 0.000 0.500
Fe 0.500 0.500 0.321
Fe 0.500 0.500 0.679

Computed properties:
The volume comes out at 73.8 Å³ per cell. Its formation energy is 0.363 eV per atom. The calculation puts the total magnetization at 1.10 μB/atom.

=====

# 10
VASP calculation (meta-GGA SCAN) on a PBEsol-optimized structure of Tl2GaN.

a = 4.817 Å, b = 4.817 Å, c = 4.817 Å
α = 60.00°, β = 60.00°, γ = 60.00°
Fractional positions:
Tl 0.250 0.250 0.250
Tl 0.750 0.750 0.750
Ga 0.000 0.000 0.000
N 0.500 0.500 0.500

Computed properties:
The volume comes out at 79.0 Å³ per cell. Its uncorrected formation energy is 1079 meV per atom. The calculation puts the total magnetization at 0.00 μB/atom.

=====

# 11
VASP calculation (meta-GGA SCAN) on a PBEsol-optimized structure of Ni2AsW.

a = 8.096 Å, b = 8.096 Å, c = 8.096 Å
α = 19.73°, β = 19.73°, γ = 19.73°
Fractional positions:
Ni 0.000 0.000 0.000
Ni 0.252 0.252 0.252
As 0.511 0.511 0.511
W 0.750 0.750 0.750

Computed properties:
The volume comes out at 52.9 Å³ per cell. Its formation energy is 0.316 eV per atom. The calculation puts the total magnetization at 0.00 μB/atom.

=====

# 12
VASP calculation (meta-GGA SCAN) on a PBEsol-optimized structure of W7O6F30.

a = 10.714 Å, b = 10.714 Å, c = 10.714 Å
α = 49.87°, β = 49.87°, γ = 49.87°
Fractional positions:
W 0.000 0.000 0.000
W 0.090 0.755 0.400
W 0.245 0.600 0.910
W 0.400 0.090 0.755
W 0.600 0.910 0.245
W 0.755 0.400 0.090
W 0.910 0.245 0.600
O 0.006 0.106 0.770
O 0.106 0.770 0.006
O 0.230 0.994 0.894
O 0.770 0.006 0.106
O 0.894 0.230 0.994
O 0.994 0.894 0.230
F 0.049 0.375 0.449
F 0.085 0.094 0.481
F 0.094 0.481 0.085
F 0.112 0.746 0.775
F 0.205 0.611 0.552
F 0.225 0.888 0.254
F 0.254 0.225 0.888
F 0.264 0.600 0.283
F 0.283 0.264 0.600
F 0.375 0.449 0.049
F 0.389 0.448 0.795
F 0.400 0.717 0.736
F 0.448 0.795 0.389
F 0.449 0.049 0.375
F 0.481 0.085 0.094
F 0.519 0.915 0.906
F 0.551 0.951 0.625
F 0.552 0.205 0.611
F 0.600 0.283 0.264
F 0.611 0.552 0.205
F 0.625 0.551 0.951
F 0.717 0.736 0.400
F 0.736 0.400 0.717
F 0.746 0.775 0.112
F 0.775 0.112 0.746
F 0.795 0.389 0.448
F 0.888 0.254 0.225
F 0.906 0.519 0.915
F 0.915 0.906 0.519
F 0.951 0.625 0.551

Computed properties:
The volume comes out at 661.4 Å³ per cell. Its uncorrected formation energy is -2611 meV per atom. The calculation puts the total magnetization at 0.00 μB/atom.

=====

# 13
VASP calculation (meta-GGA SCAN) on a PBEsol-optimized structure of BaLaCr2Ru.

a = 4.595 Å, b = 4.595 Å, c = 5.793 Å
α = 90.00°, β = 90.00°, γ = 90.00°
Fractional positions:
Ba 0.000 0.000 0.000
La 0.000 0.000 0.500
Cr 0.000 0.500 0.500
Cr 0.500 0.000 0.500
Ru 0.500 0.500 0.000

Computed properties:
The volume comes out at 122.3 Å³ per cell. Its formation energy is 2.040 eV per atom. The calculation puts the total magnetization at 1.39 μB/atom.

=====

# 14
VASP calculation (meta-GGA SCAN) on a PBEsol-optimized structure of CaZn2IrSe.

a = 5.096 Å, b = 5.096 Å, c = 5.076 Å
α = 90.00°, β = 90.00°, γ = 90.00°
Fractional positions:
Ca 0.000 0.000 0.000
Zn 0.000 0.500 0.000
Zn 0.500 0.000 0.000
Ir 0.500 0.500 0.500
Se 0.000 0.000 0.500

Computed properties:
The volume comes out at 131.8 Å³ per cell. Its uncorrected formation energy is 1406 meV per atom. The calculation puts the total magnetization at 0.46 μB/atom.

=====

# 15
VASP calculation (meta-GGA SCAN) on a PBEsol-optimized structure of Li2ZrF6.

a = 6.336 Å, b = 6.336 Å, c = 5.123 Å
α = 108.49°, β = 108.49°, γ = 75.40°
Fractional positions:
Li 0.131 0.293 0.399
Li 0.293 0.131 0.899
Li 0.707 0.869 0.101
Li 0.869 0.707 0.601
Zr 0.320 0.680 0.250
Zr 0.680 0.320 0.750
F 0.002 0.251 0.000
F 0.114 0.631 0.447
F 0.251 0.002 0.500
F 0.330 0.429 0.850
F 0.369 0.886 0.053
F 0.429 0.330 0.350
F 0.571 0.670 0.650
F 0.631 0.114 0.947
F 0.670 0.571 0.150
F 0.749 0.998 0.500
F 0.886 0.369 0.553
F 0.998 0.749 0.000

Computed properties:
The volume comes out at 182.3 Å³ per cell. Its uncorrected formation energy is -3626 meV per atom. The calculation puts the total magnetization at 0.00 μB/atom. The energy above the most stable polymorph in this dataset is 35 meV per atom.

=====

# 16
VASP calculation (meta-GGA SCAN) on a PBEsol-optimized structure of TlMoRu.

a = 6.179 Å, b = 6.179 Å, c = 6.179 Å
α = 152.39°, β = 152.39°, γ = 39.44°
Fractional positions:
Tl 0.000 0.000 0.000
Mo 0.690 0.690 0.000
Ru 0.318 0.318 0.000

Computed properties:
The volume comes out at 50.6 Å³ per cell. Its formation energy is 0.370 eV per atom. The calculation puts the total magnetization at 0.00 μB/atom. The energy above the most stable polymorph in this dataset is 0 meV per atom.

=====

# 17
VASP calculation (meta-GGA SCAN) on a PBEsol-optimized structure of BaNbP2Cl.

a = 4.838 Å, b = 4.838 Å, c = 5.043 Å
α = 90.00°, β = 90.00°, γ = 90.00°
Fractional positions:
Ba 0.000 0.000 0.000
Nb 0.500 0.500 0.500
P 0.000 0.500 0.500
P 0.500 0.000 0.500
Cl 0.500 0.500 0.000

Computed properties:
The volume comes out at 118.1 Å³ per cell. Its uncorrected formation energy is -1022 meV per atom. The calculation puts the total magnetization at 0.00 μB/atom.

=====

# 18
VASP calculation (meta-GGA SCAN) on a PBEsol-optimized structure of LaY.

a = 17.625 Å, b = 17.625 Å, c = 17.625 Å
α = 11.70°, β = 11.70°, γ = 11.70°
Fractional positions:
La 0.000 0.000 0.000
La 0.223 0.223 0.223
La 0.498 0.498 0.498
Y 0.109 0.109 0.109
Y 0.611 0.611 0.611
Y 0.723 0.723 0.723

Computed properties:
The volume comes out at 195.5 Å³ per cell. Its formation energy is 0.037 eV per atom. The calculation puts the total magnetization at 0.05 μB/atom. The energy above the most stable polymorph in this dataset is 23 meV per atom.

=====

# 19
VASP calculation (meta-GGA SCAN) on a PBEsol-optimized structure of TcNiAs3.

a = 4.698 Å, b = 4.698 Å, c = 4.698 Å
α = 90.00°, β = 90.00°, γ = 90.00°
Fractional positions:
Tc 0.000 0.000 0.000
Ni 0.500 0.500 0.500
As 0.000 0.000 0.500
As 0.000 0.500 0.000
As 0.500 0.000 0.000

Computed properties:
The volume comes out at 103.7 Å³ per cell. Its formation energy is 0.907 eV per atom. The calculation puts the total magnetization at 0.24 μB/atom.

=====

# 20
VASP calculation (meta-GGA SCAN) on a PBEsol-optimized structure of FeTc2Ru.

a = 2.661 Å, b = 4.193 Å, c = 4.586 Å
α = 90.00°, β = 90.00°, γ = 90.00°
Fractional positions:
Fe 0.000 0.000 0.000
Tc 0.500 0.000 0.490
Tc 0.500 0.500 0.150
Ru 0.000 0.500 0.663

Computed properties:
The volume comes out at 51.2 Å³ per cell. Its formation energy is 0.036 eV per atom. The calculation puts the total magnetization at 0.43 μB/atom. The energy above the most stable polymorph in this dataset is 0 meV per atom.